Record 1
A plane-wave DFT calculation with PBE was carried out for a geometry-optimized Cs4Tl4Zn structure.

- Total energy: -1.51 eV/atom

a = 7.964 Å, b = 7.964 Å, c = 16.003 Å
α = 90.00°, β = 90.00°, γ = 90.00°
Space group I-42m (No. 121)
Symmetry-distinct sites (fractional):
Cs  0.188  0.188  0.369 x8
Tl  0.160  0.160  0.125 x8
Zn  0.000  0.000  0.000 x2



Record 2
A plane-wave DFT calculation with PBE was carried out for a geometry-optimized Sc2Be2AlCo5 structure.

- Total energy: -6.31 eV/atom

a = 8.915 Å, b = 8.915 Å, c = 3.003 Å
α = 90.00°, β = 90.00°, γ = 90.00°
Space group P4/mbm (No. 127)
Symmetry-distinct sites (fractional):
Sc  0.177  0.323  0.000 x4
Be  0.121  0.621  0.000 x4
Al  0.000  0.000  0.000 x2
Co  0.000  0.500  0.500 x2
Co  0.066  0.786  0.500 x8



Record 3
A plane-wave DFT calculation with PBE was carried out for a geometry-optimized U2SiS6 structure.

- Total energy: -6.83 eV/atom
- Formation energy without anion corrections: -8.75 eV per formula unit

a = 13.527 Å, b = 3.712 Å, c = 10.759 Å
α = 90.00°, β = 122.35°, γ = 90.00°
Space group C2/m (No. 12)
Symmetry-distinct sites (fractional):
U  0.186  0.000  0.297 x4
Si  0.000  0.500  0.000 x2
S  0.014  0.500  0.217 x4
S  0.158  0.000  0.527 x4
S  0.195  0.500  0.115 x4



Record 4
A plane-wave DFT calculation with PBE was carried out for a geometry-optimized Ba5Bi4H structure.

- Total energy: -3.48 eV/atom

a = 11.038 Å, b = 11.038 Å, c = 7.180 Å
α = 90.00°, β = 90.00°, γ = 90.00°
Space group I4 (No. 79)
Symmetry-distinct sites (fractional):
Ba  0.000  0.000  0.000 x2
Ba  0.095  0.718  0.553 x8
Bi  0.091  0.699  0.055 x8
H  0.000  0.000  0.613 x2